# CaFeF2, optimized geometry, DFT PBE with a Hubbard U
data_CaFeF2
_chemical_formula_sum 'Ca4 Fe4 F8'
_space_group_name_H-M_alt 'I -4 2 d'
_space_group_IT_number 122
_space_group_name_Hall 'I -4 2bw'
_cell_length_a 5.893
_cell_length_b 5.893
_cell_length_c 11.396
_cell_angle_alpha 90.00
_cell_angle_beta 90.00
_cell_angle_gamma 90.00
loop_
_atom_site_label
_atom_site_fract_x
_atom_site_fract_y
_atom_site_fract_z
Ca1 0.000 0.000 0.000
Fe1 0.000 0.000 0.500
F1 0.116 0.250 0.125
# ΔE to the lowest computed polymorph: 17.8 kJ/mol of atoms
# E: -77.0 eV per cell